(1)
# PmAg4Bi | the Alexandria database | PBE | relaxed
data_PmAg4Bi
_cell_length_a 5.7388
_cell_length_b 5.7388
_cell_length_c 5.7388
_cell_angle_alpha 60.00
_cell_angle_beta 60.00
_cell_angle_gamma 60.00
_symmetry_space_group_name_H-M 'P 1'
_symmetry_Int_Tables_number 1
loop_
_symmetry_equiv_pos_as_xyz
'x,y,z'
loop_
_atom_site_label
_atom_site_type_symbol
_atom_site_fract_x
_atom_site_fract_y
_atom_site_fract_z
Pm1 Pm 0.0000 0.0000 0.0000
Ag1 Ag 0.3746 0.3746 0.3746
Ag2 Ag 0.3746 0.3746 0.8761
Ag3 Ag 0.3746 0.8761 0.3746
Ag4 Ag 0.8761 0.3746 0.3746
Bi1 Bi 0.7500 0.7500 0.7500
# - SG: F-43m (216)
# - D(E_F): 0.464 states/eV/atom
# - Calculated formation energy: -1.16 eV per formula unit
# - Total moment: 0.00 Bohr magnetons per cell
# - Theoretical density: 9.8 Mg/m³

(2)
# BaInO2 | the Alexandria database | PBE | relaxed
data_BaInO2
_cell_length_a 5.6411
_cell_length_b 5.6411
_cell_length_c 6.2674
_cell_angle_alpha 114.77
_cell_angle_beta 114.77
_cell_angle_gamma 91.08
_symmetry_space_group_name_H-M 'P 1'
_symmetry_Int_Tables_number 1
loop_
_symmetry_equiv_pos_as_xyz
'x,y,z'
loop_
_atom_site_label
_atom_site_type_symbol
_atom_site_fract_x
_atom_site_fract_y
_atom_site_fract_z
Ba1 Ba 0.1320 0.8680 0.7500
Ba2 Ba 0.8680 0.1320 0.2500
In1 In 0.4065 0.5935 0.2500
In2 In 0.5935 0.4065 0.7500
O1 O 0.2212 0.3704 0.7736
O2 O 0.3704 0.2212 0.2736
O3 O 0.6296 0.7788 0.7264
O4 O 0.7788 0.6296 0.2264
# - Uncorrected formation energy: -1732 meV/atom
# - SG: C2/c (15)
# - D(E_F): 0.296 states/eV/atom
# - Total moment: 0.00 Bohr magnetons per cell
# - Theoretical density: 5.9 Mg/m³

(3)
# DyHoMgS4 | the Alexandria database | PBE | relaxed
data_DyHoMgS4
_cell_length_a 7.8897
_cell_length_b 7.8897
_cell_length_c 7.8897
_cell_angle_alpha 120.06
_cell_angle_beta 119.97
_cell_angle_gamma 89.97
_symmetry_space_group_name_H-M 'P 1'
_symmetry_Int_Tables_number 1
loop_
_symmetry_equiv_pos_as_xyz
'x,y,z'
loop_
_atom_site_label
_atom_site_type_symbol
_atom_site_fract_x
_atom_site_fract_y
_atom_site_fract_z
Dy1 Dy 0.0000 0.0000 0.0000
Dy2 Dy 0.5000 0.0000 0.5000
Ho1 Ho 0.5000 0.0000 0.0000
Ho2 Ho 0.5000 0.5000 0.5000
Mg1 Mg 0.1250 0.3750 0.7500
Mg2 Mg 0.8750 0.6250 0.2500
S1 S 0.2554 0.2465 0.4911
S2 S 0.2554 0.7643 0.0089
S3 S 0.2558 0.2456 0.0102
S4 S 0.2646 0.7544 0.5102
S5 S 0.7354 0.2456 0.4898
S6 S 0.7442 0.7544 0.9898
S7 S 0.7446 0.2357 0.9911
S8 S 0.7446 0.7535 0.5089
# - Uncorrected formation energy: -1891 meV/atom
# - SG: Imma (74)
# - D(E_F): 0.000 states/eV/atom
# - Total moment: 0.00 Bohr magnetons per cell
# - Theoretical density: 4.6 Mg/m³

(4)
# Nd4Dy3Tl4 | the Alexandria database | PBE | relaxed
data_Nd4Dy3Tl4
_cell_length_a 10.9858
_cell_length_b 10.9858
_cell_length_c 10.9858
_cell_angle_alpha 160.75
_cell_angle_beta 128.82
_cell_angle_gamma 55.18
_symmetry_space_group_name_H-M 'P 1'
_symmetry_Int_Tables_number 1
loop_
_symmetry_equiv_pos_as_xyz
'x,y,z'
loop_
_atom_site_label
_atom_site_type_symbol
_atom_site_fract_x
_atom_site_fract_y
_atom_site_fract_z
Nd1 Nd 0.0138 0.8382 0.1756
Nd2 Nd 0.3374 0.1618 0.1756
Nd3 Nd 0.6626 0.8382 0.8244
Nd4 Nd 0.9862 0.1618 0.8244
Dy1 Dy 0.0000 0.5000 0.5000
Dy2 Dy 0.4065 0.4065 0.0000
Dy3 Dy 0.5935 0.5935 0.0000
Tl1 Tl 0.2762 0.7762 0.5000
Tl2 Tl 0.2797 0.0000 0.2797
Tl3 Tl 0.7203 0.0000 0.7203
Tl4 Tl 0.7238 0.2238 0.5000
# - SG: Immm (71)
# - D(E_F): 0.926 states/eV/atom
# - Calculated formation energy: -2.74 eV per formula unit
# - Total moment: 0.00 Bohr magnetons per cell
# - Theoretical density: 9.2 Mg/m³

(5)
# Ca2TaZn | the Alexandria database | PBE | relaxed
data_Ca2TaZn
_cell_length_a 10.8665
_cell_length_b 10.8665
_cell_length_c 10.8665
_cell_angle_alpha 17.20
_cell_angle_beta 17.20
_cell_angle_gamma 17.20
_symmetry_space_group_name_H-M 'P 1'
_symmetry_Int_Tables_number 1
loop_
_symmetry_equiv_pos_as_xyz
'x,y,z'
loop_
_atom_site_label
_atom_site_type_symbol
_atom_site_fract_x
_atom_site_fract_y
_atom_site_fract_z
Ca1 Ca 0.2504 0.2504 0.2504
Ca2 Ca 0.7496 0.7496 0.7496
Ta1 Ta 0.0000 0.0000 0.0000
Zn1 Zn 0.5000 0.5000 0.5000
# - SG: R-3m (166)
# - D(E_F): 0.861 states/eV/atom
# - Calculated formation energy: 1.99 eV per formula unit
# - Total moment: 0.00 Bohr magnetons per cell
# - Theoretical density: 5.5 Mg/m³

(6)
# VReAs2 | the Alexandria database | PBE | relaxed
data_VReAs2
_cell_length_a 4.3822
_cell_length_b 4.3822
_cell_length_c 4.3822
_cell_angle_alpha 60.00
_cell_angle_beta 60.00
_cell_angle_gamma 60.00
_symmetry_space_group_name_H-M 'P 1'
_symmetry_Int_Tables_number 1
loop_
_symmetry_equiv_pos_as_xyz
'x,y,z'
loop_
_atom_site_label
_atom_site_type_symbol
_atom_site_fract_x
_atom_site_fract_y
_atom_site_fract_z
V1 V 0.0000 0.0000 0.0000
Re1 Re 0.5000 0.5000 0.5000
As1 As 0.2500 0.2500 0.2500
As2 As 0.7500 0.7500 0.7500
# - Relative energy among the computed polymorphs: 0.0 kJ/mol of formula units
# - SG: Fm-3m (225)
# - D(E_F): 0.715 states/eV/atom
# - Calculated formation energy: 0.12 eV per formula unit
# - Total moment: 2.19 Bohr magnetons per cell
# - Theoretical density: 10.8 Mg/m³

(7)
# NiHgRh2 | the Alexandria database | PBE | relaxed
data_NiHgRh2
_cell_length_a 8.9559
_cell_length_b 8.9559
_cell_length_c 8.9559
_cell_angle_alpha 18.20
_cell_angle_beta 18.20
_cell_angle_gamma 18.20
_symmetry_space_group_name_H-M 'P 1'
_symmetry_Int_Tables_number 1
loop_
_symmetry_equiv_pos_as_xyz
'x,y,z'
loop_
_atom_site_label
_atom_site_type_symbol
_atom_site_fract_x
_atom_site_fract_y
_atom_site_fract_z
Ni1 Ni 0.0000 0.0000 0.0000
Hg1 Hg 0.5000 0.5000 0.5000
Rh1 Rh 0.2582 0.2582 0.2582
Rh2 Rh 0.7418 0.7418 0.7418
# - SG: R-3m (166)
# - D(E_F): 1.563 states/eV/atom
# - Calculated formation energy: 1.02 eV per formula unit
# - Total moment: 2.08 Bohr magnetons per cell
# - Theoretical density: 12.6 Mg/m³

(8)
# CaMgCdRh | the Alexandria database | PBE | relaxed
data_CaMgCdRh
_cell_length_a 4.8859
_cell_length_b 4.8859
_cell_length_c 4.8859
_cell_angle_alpha 60.00
_cell_angle_beta 60.00
_cell_angle_gamma 60.00
_symmetry_space_group_name_H-M 'P 1'
_symmetry_Int_Tables_number 1
loop_
_symmetry_equiv_pos_as_xyz
'x,y,z'
loop_
_atom_site_label
_atom_site_type_symbol
_atom_site_fract_x
_atom_site_fract_y
_atom_site_fract_z
Ca1 Ca 0.0000 0.0000 0.0000
Mg1 Mg 0.5000 0.5000 0.5000
Cd1 Cd 0.2500 0.2500 0.2500
Rh1 Rh 0.7500 0.7500 0.7500
# - SG: F-43m (216)
# - D(E_F): 0.365 states/eV/atom
# - Calculated formation energy: -1.03 eV per formula unit
# - Total moment: 0.00 Bohr magnetons per cell
# - Theoretical density: 5.6 Mg/m³